# 1
Ag7SnS6 after structural relaxation. Source: Alexandria, functional PBE.

Unit cell a=10.480 b=10.480 c=10.480 alpha=144.08 beta=98.34 gamma=92.58
Element x y z (fractional)
Ag (0.029, 0.227, 0.255)
Ag (0.130, 0.437, 0.775)
Ag (0.162, 0.937, 0.307)
Ag (0.250, 0.250, 0.000)
Ag (0.338, 0.645, 0.775)
Ag (0.370, 0.145, 0.307)
Ag (0.471, 0.727, 0.198)
Ag (0.529, 0.273, 0.802)
Ag (0.630, 0.855, 0.693)
Ag (0.662, 0.355, 0.225)
Ag (0.750, 0.750, 0.000)
Ag (0.838, 0.063, 0.693)
Ag (0.870, 0.563, 0.225)
Ag (0.971, 0.773, 0.745)
Sn (0.250, 0.750, 0.500)
Sn (0.750, 0.250, 0.500)
S (0.052, 0.887, 0.622)
S (0.152, 0.817, 0.969)
S (0.235, 0.613, 0.165)
S (0.265, 0.429, 0.378)
S (0.348, 0.317, 0.664)
S (0.448, 0.071, 0.835)
S (0.552, 0.929, 0.165)
S (0.652, 0.683, 0.336)
S (0.735, 0.571, 0.622)
S (0.765, 0.387, 0.835)
S (0.848, 0.183, 0.031)
S (0.948, 0.113, 0.378)

For the volume, the calculation gives 22.90 Å³/atom. The uncorrected formation energy is -0.013 eV/atom.

---

# 2
Ag3Sn3S8 after structural relaxation. Source: Alexandria, functional PBE.

Unit cell a=7.703 b=7.703 c=7.703 alpha=59.73 beta=59.73 gamma=59.73
Element x y z (fractional)
Ag (0.000, 0.000, 0.000)
Ag (0.386, 0.386, 0.386)
Ag (0.614, 0.614, 0.614)
Sn (0.000, 0.000, 0.500)
Sn (0.000, 0.500, 0.000)
Sn (0.500, 0.000, 0.000)
S (0.217, 0.757, 0.757)
S (0.243, 0.243, 0.783)
S (0.243, 0.783, 0.243)
S (0.245, 0.245, 0.245)
S (0.755, 0.755, 0.755)
S (0.757, 0.217, 0.757)
S (0.757, 0.757, 0.217)
S (0.783, 0.243, 0.243)

For the volume, the calculation gives 22.94 Å³/atom. The uncorrected formation energy is -0.251 eV/atom.